Entry from Alexandria via LeMat-Bulk: crystalline ErPu2Mg at its relaxed geometry (PBE).

Summary:
The formation energy is 160 meV/atom. The total DFT energy (no corrections) is -34.180 eV per formula unit.

Cell lengths 4.536, 4.536, 5.204 Å; angles 90.00, 90.00, 90.00 degrees
Fractional positions:
Er (0.000, 0.000, 0.000)
Pu (0.000, 0.500, 0.500)
Pu (0.500, 0.000, 0.500)
Mg (0.500, 0.500, 0.000)